# 1
Entry from the Alexandria database: a relaxed structure of LiRu2Cl (PBEsol).

Values from the calculation:
E_form (uncorrected), kJ/mol of atoms: 66.5
E, eV/atom: -5.39
E above lowest polymorph, eV/atom: 0.725

Cell: 2.7391 4.6331 4.6818 Å, 90.00 90.00 90.00°
With the nearest neighbours (Å) after each atom.
Space group Pmmm (No. 47)
Inequivalent atoms, fractional coordinates:
Li 0.0000 0.0000 0.0000  2 Cl 2.34
Ru 0.5000 0.5000 0.2497  2 Ru 2.34
Cl 0.0000 0.0000 0.5000  2 Li 2.34



# 2
Entry from the Alexandria database: a relaxed structure of Tl4SbP (PBEsol).

Values from the calculation:
E_form (uncorrected), kJ/mol of atoms: 47.9
E, eV/atom: -2.98

Cell: 8.7333 8.7333 8.7333 Å, 90.00 90.00 90.00°
With the nearest neighbours (Å) after each atom.
Space group F-43m (No. 216)
Inequivalent atoms, fractional coordinates:
Tl 0.1253 0.1253 0.1253  6 Tl 3.08-3.10
Sb 0.2500 0.2500 0.7500  12 Tl 3.62, 4 P 3.78
P 0.0000 0.0000 0.5000  12 Tl 3.62, 4 Sb 3.78



# 3
Entry from the Alexandria database: a relaxed structure of ZrAl3I (PBEsol).

Values from the calculation:
E_form (uncorrected), kJ/mol of atoms: 94.0
E, eV/atom: -3.65

Cell: 5.4105 5.4105 5.4105 Å, 90.00 90.00 90.00°
With the nearest neighbours (Å) after each atom.
Space group Pm-3m (No. 221)
Inequivalent atoms, fractional coordinates:
Zr 0.0000 0.0000 0.0000  6 Al 2.71
Al 0.0000 0.0000 0.5000  2 Zr 2.71
I 0.5000 0.5000 0.5000  12 Al 3.83



# 4
Entry from the Alexandria database: a relaxed structure of KBaTa2 (PBEsol).

Values from the calculation:
E, eV/atom: -6.16
E above lowest polymorph, eV/atom: 0.000
Formation energy, kcal/mol of atoms: 21.6

Cell: 3.3945 3.3945 34.8784 Å, 90.00 90.00 120.00°
With the nearest neighbours (Å) after each atom.
Space group R3m (No. 160, hexagonal axes)
Inequivalent atoms, fractional coordinates:
K 0.0000 0.0000 0.0000  6 K 3.39, 3 Ta 3.63
Ba 0.0000 0.0000 0.2200  6 Ba 3.39, 3 Ta 3.44
Ta 0.0000 0.0000 0.4723  3 Ta 2.65
Ta 0.0000 0.0000 0.7544  3 Ta 2.65